Record 1
Density functional theory data (PBE) for ThNpSe3 after structural relaxation.

For the uncorrected formation energy, the calculation gives -1.46 eV/atom. Its crystal system is orthorhombic. As for the total energy: -7.627 eV/atom. The total moment is 4.598 μB per formula unit.

The structure belongs to space group Pnma (No. 62); the cell edges are 7.855, 4.108 and 16.027 Å and the angles 90.00°, 90.00° and 90.00°. Symmetry generates all atoms from Th at (0.246, 0.250, 0.043), Np at (0.105, 0.750, 0.289), Se at (0.003, 0.750, 0.104), Se at (0.124, 0.250, 0.426) and Se at (0.167, 0.750, 0.724).

***

Record 2
Density functional theory data (PBE) for SmDyHoSc after structural relaxation.

Its crystal system is cubic. The value obtained for the calculated formation energy is 0.12 eV/atom. As for the total energy: -4.938 eV/atom. The total moment is 0.000 μB per formula unit.

The structure belongs to space group F-43m (No. 216); the cell edges are 7.853, 7.853 and 7.853 Å and the angles 90.00°, 90.00° and 90.00°. Symmetry generates all atoms from Sm at (0.000, 0.000, 0.000), Dy at (0.000, 0.000, 0.500), Ho at (0.250, 0.250, 0.750) and Sc at (0.250, 0.250, 0.250).